Li6Fe2C4SO16 (GGA+U, relaxed); M_tot = 8.000 μB per formula unit; V = 592 Å³/cell; energy = -380.969 eV for the cell shown; Fermi-level density of states = 19.6 states/eV/cell; theoretical density = 2.7 g/cm³
1.0
9.424 0.000 0.000
4.712 8.161 0.000
4.712 2.720 7.695
Li Fe C S O
12 4 8 2 32
Direct
0.284 0.716 0.716
0.534 0.966 0.966
0.716 0.284 0.716
0.716 0.716 0.284
0.284 0.716 0.284
0.284 0.284 0.716
0.966 0.966 0.534
0.966 0.534 0.966
0.534 0.966 0.534
0.534 0.534 0.966
0.716 0.284 0.284
0.966 0.534 0.534
0.125 0.125 0.625
0.125 0.625 0.125
0.625 0.125 0.125
0.125 0.125 0.125
0.300 0.900 0.900
0.900 0.900 0.900
0.900 0.900 0.300
0.900 0.300 0.900
0.350 0.950 0.350
0.350 0.350 0.950
0.950 0.350 0.350
0.350 0.350 0.350
0.750 0.750 0.750
0.500 0.500 0.500
0.944 0.685 0.685
0.685 0.685 0.685
0.685 0.944 0.685
0.685 0.685 0.944
0.300 0.758 0.908
0.034 0.908 0.758
0.300 0.034 0.758
0.908 0.758 0.034
0.758 0.034 0.908
0.300 0.908 0.034
0.908 0.300 0.758
0.034 0.758 0.300
0.492 0.950 0.216
0.342 0.216 0.950
0.034 0.300 0.908
0.758 0.908 0.300
0.216 0.950 0.342
0.492 0.342 0.950
0.758 0.300 0.034
0.908 0.034 0.300
0.342 0.950 0.492
0.216 0.492 0.950
0.950 0.342 0.216
0.492 0.216 0.342
0.950 0.216 0.492
0.342 0.492 0.216
0.216 0.342 0.492
0.950 0.492 0.342
0.565 0.565 0.306
0.565 0.306 0.565
0.565 0.565 0.565
0.306 0.565 0.565